Entry 1:
10
Lattice="-0.282 5.043 -2.319 -0.010 -4.520 -3.233 -7.002 0.034 -2.437" Properties=species:S:1:pos:R:3 comment="Sc2Zn3 | the Alexandria database | PBE | optimized geometry" dft_energy_ev_per_atom=-3.59 pbc="T T T"
Sc -0.801 -1.459 -2.277
Zn -1.989 -1.306 -4.945
Zn -0.282 0.506 -5.376
Sc -6.427 1.898 -4.473
Zn -1.849 0.959 -3.335
Zn -5.242 -2.787 -4.913
Zn -3.706 2.652 -3.591
Sc -2.765 -3.784 -3.796
Zn -5.519 -0.270 -6.066
Sc -4.327 -0.558 -3.411

Entry 2:
8
Lattice="5.220 0.000 0.000 0.000 5.220 0.000 0.000 0.000 5.220" Properties=species:S:1:pos:R:3 comment="ScZn3 | the Alexandria database | PBE | optimized geometry" dft_energy_ev_per_atom=-2.59 pbc="T T T"
Zn 3.915 2.610 0.000
Zn 0.000 1.305 2.610
Sc 2.610 2.610 2.610
Zn 2.610 0.000 1.305
Zn 2.610 0.000 3.915
Sc 0.000 0.000 0.000
Zn 1.305 2.610 0.000
Zn 0.000 3.915 2.610

Entry 3:
4
Lattice="-2.189 0.923 -2.104 2.712 -1.307 -1.002 -3.509 -7.543 0.343" Properties=species:S:1:pos:R:3 comment="ScZn3 | the Alexandria database | PBE | optimized geometry" dft_energy_ev_per_atom=-2.57 pbc="T T T"
Zn 0.140 -2.582 -1.277
Zn -1.492 -6.089 -1.118
Zn -1.755 -3.772 0.171
Sc 0.000 0.000 0.000

Entry 4:
16
Lattice="5.812 0.000 0.000 2.906 5.033 0.000 0.000 0.000 9.209" Properties=species:S:1:pos:R:3 comment="ScZn3 | the Alexandria database | PBE | optimized geometry" dft_energy_ev_per_atom=-2.80 pbc="T T T"
Zn 2.906 3.277 2.302
Sc 2.906 1.678 6.907
Zn 1.520 0.878 2.302
Zn 5.812 1.756 6.907
Zn 1.453 2.517 4.605
Zn 4.426 4.155 6.907
Sc 0.000 0.000 4.605
Sc 5.812 3.355 2.302
Zn 1.453 2.517 0.000
Zn 7.197 4.155 6.907
Zn 2.906 0.000 0.000
Zn 4.359 2.517 0.000
Zn 4.359 2.517 4.605
Zn 4.291 0.878 2.302
Sc 0.000 0.000 0.000
Zn 2.906 0.000 4.605

Number 1: calculated formation energy -28 kJ/mol of atoms. Number 2: calculated formation energy -5 kJ/mol of atoms. Number 3: calculated formation energy -3 kJ/mol of atoms. Number 4: calculated formation energy -25 kJ/mol of atoms.